Entry 1:
Compound: CuBRh3
Source: Alexandria
Functional: GGA-PBEsol
Structure: relaxed

Lattice parameters (Å, degrees): 3.9928 3.9928 3.9928 90.00 90.00 90.00
Positions (direct):
B (0.0000, 0.0000, 0.0000)
Rh (0.0000, 0.0000, 0.5000)
Rh (0.5000, 0.0000, 0.0000)
Cu (0.5000, 0.5000, 0.5000)
Rh (0.0000, 0.5000, 0.0000)

Summary:
- ΔE_f (eV/atom) = 0.10
- space group = No. 221

***

Entry 2:
Compound: ScMnO3
Source: Alexandria
Functional: GGA-PBEsol
Structure: relaxed

Lattice parameters (Å, degrees): 5.7935 5.7935 11.1617 90.00 90.00 120.00
Each line ends with the local moment (μB).
Positions (direct):
O (0.0000, 0.3030, 0.8320)  0.02
Mn (0.3333, 0.0000, 0.9998)  3.46
O (0.0000, 0.0000, 0.5283)  0.07
Sc (0.0000, 0.0000, 0.7231)  0.04
Mn (0.6667, 0.6667, 0.9998)  3.46
O (0.0000, 0.0000, 0.0283)  0.07
O (0.3639, 0.0000, 0.1667)  0.03
Sc (0.3333, 0.6667, 0.7703)  0.05
O (0.0000, 0.6970, 0.3320)  0.02
Mn (0.0000, 0.3333, 0.9998)  3.46
O (0.6667, 0.3333, 0.4762)  0.07
O (0.6970, 0.6970, 0.8320)  0.02
Sc (0.0000, 0.0000, 0.2231)  0.04
O (0.3333, 0.6667, 0.4762)  0.07
O (0.3030, 0.3030, 0.3320)  0.02
Sc (0.6667, 0.3333, 0.2703)  0.05
O (0.6970, 0.0000, 0.3320)  0.02
O (0.0000, 0.6361, 0.6667)  0.03
Sc (0.3333, 0.6667, 0.2703)  0.05
Mn (0.6667, 0.0000, 0.4998)  3.46
Sc (0.6667, 0.3333, 0.7703)  0.05
O (0.0000, 0.3639, 0.1667)  0.03
O (0.6361, 0.0000, 0.6667)  0.03
Mn (0.3333, 0.3333, 0.4998)  3.46
O (0.6361, 0.6361, 0.1667)  0.03
O (0.3030, 0.0000, 0.8320)  0.02
Mn (0.0000, 0.6667, 0.4998)  3.46
O (0.3639, 0.3639, 0.6667)  0.03
O (0.3333, 0.6667, 0.9762)  0.07
O (0.6667, 0.3333, 0.9762)  0.07

Summary:
- space group = No. 185
- formation energy from raw total energies (eV per atom) = -2.60

***

Entry 3:
Compound: InSnN2O
Source: Alexandria
Functional: GGA-PBEsol
Structure: relaxed

Lattice parameters (Å, degrees): 4.1675 4.2428 4.2428 90.00 90.00 90.00
Each line ends with the local moment (μB).
Positions (direct):
O (0.5000, 0.0000, 0.0000)  0.32
N (0.0000, 0.5000, 0.0000)  0.88
In (0.0000, 0.0000, 0.0000)  0.04
N (0.0000, 0.0000, 0.5000)  0.88
Sn (0.5000, 0.5000, 0.5000)  0.01

Summary:
- space group = No. 123
- formation energy from raw total energies (eV per atom) = 0.85

***

Entry 4:
Compound: POs2Br
Source: Alexandria
Functional: GGA-PBEsol
Structure: relaxed

Lattice parameters (Å, degrees): 2.8508 2.8508 8.1721 90.00 90.00 90.00
Positions (direct):
Br (0.5000, 0.5000, 0.7978)
Os (0.0000, 0.0000, 0.0272)
P (0.0000, 0.0000, 0.4303)
Os (0.5000, 0.5000, 0.2446)

Summary:
- space group = No. 99
- polymorph energy (0 for the lowest one) (eV per formula unit) = 0.43
- formation energy from raw total energies (eV per atom) = 0.50

***

Entry 5:
Compound: TcRhW2
Source: Alexandria
Functional: GGA-PBEsol
Structure: relaxed

Lattice parameters (Å, degrees): 3.2490 3.2490 5.6235 90.00 90.00 90.00
Positions (direct):
W (0.0000, 0.0000, 0.7506)
Tc (0.5000, 0.5000, 0.5000)
W (0.0000, 0.0000, 0.2494)
Rh (0.5000, 0.5000, 0.0000)

Summary:
- ΔE_f (eV/atom) = 0.17
- space group = No. 123
- polymorph energy (0 for the lowest one) (eV per formula unit) = 0.65

***

Entry 6:
Compound: Zn3CdS
Source: Alexandria
Functional: GGA-PBEsol
Structure: relaxed

Lattice parameters (Å, degrees): 4.8783 4.8783 4.8783 90.00 90.00 90.00
Positions (direct):
Zn (0.0000, 0.0000, 0.5000)
Cd (0.0000, 0.0000, 0.0000)
Zn (0.0000, 0.5000, 0.0000)
Zn (0.5000, 0.0000, 0.0000)
S (0.5000, 0.5000, 0.5000)

Summary:
- space group = No. 221
- formation energy from raw total energies (eV per atom) = 0.69

***

Entry 7:
Compound: Mg3Hg
Source: Alexandria
Functional: GGA-PBEsol
Structure: relaxed

Lattice parameters (Å, degrees): 3.2870 5.2217 5.8401 116.56 106.34 90.00
Positions (direct):
Mg (0.5000, 0.5287, 0.0000)
Mg (0.2628, 0.9119, 0.5255)
Mg (0.7372, 0.3863, 0.4745)
Hg (0.0000, 0.0064, 0.0000)

Summary:
- ΔE_f (eV/atom) = -0.15
- space group = No. 44

***

Entry 8:
Compound: EuAl2Ge2
Source: Alexandria
Functional: GGA-PBEsol
Structure: relaxed

Lattice parameters (Å, degrees): 4.2049 4.2049 6.9923 90.00 90.00 120.00
Each line ends with the local moment (μB).
Positions (direct):
Al (0.3333, 0.6667, 0.6335)  0.00
Eu (0.0000, 0.0000, 0.0000)  6.75
Al (0.6667, 0.3333, 0.3665)  0.00
Ge (0.6667, 0.3333, 0.7401)  -0.03
Ge (0.3333, 0.6667, 0.2599)  -0.03

Summary:
- ΔE_f (eV/atom) = -0.46
- space group = No. 164

***

Entry 9:
Compound: Sc2ZnAg
Source: Alexandria
Functional: GGA-PBEsol
Structure: relaxed

Lattice parameters (Å, degrees): 3.3379 3.3379 6.6561 90.00 90.00 90.00
Positions (direct):
Ag (0.5000, 0.5000, 0.5000)
Sc (0.0000, 0.0000, 0.7591)
Zn (0.5000, 0.5000, 0.0000)
Sc (0.0000, 0.0000, 0.2409)

Summary:
- ΔE_f (eV/atom) = -0.35
- space group = No. 123

***

Entry 10:
Compound: TaPBr
Source: Alexandria
Functional: GGA-PBEsol
Structure: relaxed

Lattice parameters (Å, degrees): 3.1432 3.1432 6.3261 104.38 104.38 90.00
Positions (direct):
Ta (0.3179, 0.3179, 0.6358)
P (0.7116, 0.7116, 0.4232)
Br (0.9705, 0.9705, 0.9410)

Summary:
- space group = No. 107
- formation energy from raw total energies (eV per atom) = -0.19

***

Entry 11:
Compound: Te2Cl
Source: Alexandria
Functional: GGA-PBEsol
Structure: relaxed

Lattice parameters (Å, degrees): 3.1822 6.6977 8.0128 106.69 90.00 103.74
Positions (direct):
Cl (0.3903, 0.7806, 0.1016)
Te (0.1402, 0.2804, 0.2296)
Te (0.8598, 0.7196, 0.7704)
Cl (0.6097, 0.2194, 0.8984)
Te (0.8786, 0.7571, 0.4298)
Te (0.1214, 0.2429, 0.5702)

Summary:
- space group = No. 12
- polymorph energy (0 for the lowest one) (eV per formula unit) = 0.23
- formation energy from raw total energies (eV per atom) = -0.08

***

Entry 12:
Compound: Mg2AsH
Source: Alexandria
Functional: GGA-PBEsol
Structure: relaxed

Lattice parameters (Å, degrees): 4.4377 4.4377 4.4377 60.00 60.00 60.00
Positions (direct):
H (0.0000, 0.0000, 0.0000)
Mg (0.7500, 0.7500, 0.7500)
As (0.5000, 0.5000, 0.5000)
Mg (0.2500, 0.2500, 0.2500)

Summary:
- space group = No. 225
- raw total energy (eV per formula unit) = -12.7

***

Entry 13:
Compound: TaCuW
Source: Alexandria
Functional: GGA-PBEsol
Structure: relaxed

Lattice parameters (Å, degrees): 2.7889 3.6714 5.0100 111.49 106.16 90.00
Positions (direct):
Ta (0.6635, 0.6635, 0.3270)
W (0.3413, 0.3413, 0.6825)
Cu (0.9953, 0.9953, 0.9905)

Summary:
- ΔE_f (eV/atom) = 0.30
- space group = No. 44
- polymorph energy (0 for the lowest one) (eV per formula unit) = 0.00

***

Entry 14:
Compound: CaY2As
Source: Alexandria
Functional: GGA-PBEsol
Structure: relaxed

Lattice parameters (Å, degrees): 3.9082 3.9082 9.8334 78.54 78.54 60.00
Positions (direct):
As (0.5000, 0.5000, 0.5000)
Ca (0.0000, 0.0000, 0.0000)
Y (0.2237, 0.2237, 0.3289)
Y (0.7763, 0.7763, 0.6711)

Summary:
- ΔE_f (eV/atom) = -0.67
- space group = No. 166

***

Entry 15:
Compound: BaScAl3
Source: Alexandria
Functional: GGA-PBEsol
Structure: relaxed

Lattice parameters (Å, degrees): 5.4560 5.4560 5.4560 90.00 90.00 90.00
Each line ends with the local moment (μB).
Positions (direct):
Ba (0.0000, 0.0000, 0.0000)  0.14
Al (0.5000, 0.0000, 0.0000)  0.03
Sc (0.5000, 0.5000, 0.5000)  0.24
Al (0.0000, 0.5000, 0.0000)  0.03
Al (0.0000, 0.0000, 0.5000)  0.03

Summary:
- ΔE_f (eV/atom) = 1.47
- space group = No. 221

***

Entry 16:
Compound: MnAg2Ir
Source: Alexandria
Functional: GGA-PBEsol
Structure: relaxed

Lattice parameters (Å, degrees): 2.8214 4.8224 4.8224 112.17 90.00 90.00
Each line ends with the local moment (μB).
Positions (direct):
Ag (0.0000, 0.0000, 0.5000)  0.04
Ir (0.5000, 0.0000, 0.0000)  0.34
Ag (0.0000, 0.5000, 0.0000)  0.04
Mn (0.5000, 0.5000, 0.5000)  3.79

Summary:
- ΔE_f (eV/atom) = 0.40
- space group = No. 65
- polymorph energy (0 for the lowest one) (eV per formula unit) = 0.69

***

Entry 17:
Compound: Al2AgSb
Source: Alexandria
Functional: GGA-PBEsol
Structure: relaxed

Lattice parameters (Å, degrees): 4.2062 4.2062 5.3027 113.37 113.37 90.00
Positions (direct):
Ag (0.0000, 0.0000, 0.0000)
Al (0.7500, 0.2500, 0.5000)
Sb (0.5000, 0.5000, 0.0000)
Al (0.2500, 0.7500, 0.5000)

Summary:
- space group = No. 139
- formation energy from raw total energies (eV per atom) = 0.18

***

Entry 18:
Compound: PtI6N2
Source: Alexandria
Functional: GGA-PBEsol
Structure: relaxed

Lattice parameters (Å, degrees): 7.4170 7.4170 7.4170 60.00 60.00 60.00
Each line ends with the local moment (μB).
Positions (direct):
I (0.2518, 0.7482, 0.7482)  -0.01
I (0.7482, 0.2518, 0.7482)  -0.01
I (0.7482, 0.7482, 0.2518)  -0.01
Pt (0.0000, 0.0000, 0.0000)  0.01
I (0.2518, 0.7482, 0.2518)  -0.01
I (0.2518, 0.2518, 0.7482)  -0.01
I (0.7482, 0.2518, 0.2518)  -0.01
N (0.7500, 0.7500, 0.7500)  1.85
N (0.2500, 0.2500, 0.2500)  1.85

Summary:
- space group = No. 225
- formation energy from raw total energies (eV per atom) = 1.21

***

Entry 19:
Compound: MnBe2Ru
Source: Alexandria
Functional: GGA-PBEsol
Structure: relaxed

Lattice parameters (Å, degrees): 2.8750 3.7679 3.7679 90.01 90.00 90.00
Each line ends with the local moment (μB).
Positions (direct):
Mn (0.5000, 0.0000, 0.0000)  2.79
Be (0.0000, 0.5000, 0.0000)  -0.02
Ru (0.5000, 0.5000, 0.5000)  0.51
Be (0.0000, 0.0000, 0.5000)  -0.02

Summary:
- ΔE_f (eV/atom) = -0.12
- space group = No. 123

***

Entry 20:
Compound: K2CuP
Source: Alexandria
Functional: GGA-PBEsol
Structure: relaxed

Lattice parameters (Å, degrees): 5.6421 6.1113 6.1113 73.84 90.00 90.00
Positions (direct):
Cu (0.0000, 0.5000, 0.5000)
P (0.2500, 0.7337, 0.2663)
K (0.2500, 0.3133, 0.0243)
K (0.2500, 0.9757, 0.6867)
P (0.7500, 0.2663, 0.7337)
Cu (0.5000, 0.5000, 0.5000)
K (0.7500, 0.0243, 0.3133)
K (0.7500, 0.6867, 0.9757)

Summary:
- ΔE_f (eV/atom) = -0.31
- space group = No. 63

***

Entry 21:
Compound: Al2PbCl8
Source: Alexandria
Functional: GGA-PBEsol
Structure: relaxed

Lattice parameters (Å, degrees): 11.3798 11.4287 19.7699 90.00 90.00 90.00
Positions (direct):
Cl (0.7151, 0.2652, 0.5982)
Al (0.9721, 0.0423, 0.7615)
Cl (0.6013, 0.8315, 0.7069)
Cl (0.3551, 0.4226, 0.4942)
Cl (0.2151, 0.7348, 0.9018)
Al (0.2128, 0.2471, 0.9978)
Cl (0.7912, 0.0976, 0.7657)
Cl (0.1449, 0.4226, 0.9942)
Cl (0.4144, 0.6115, 0.0205)
Al (0.4721, 0.9577, 0.7385)
Cl (0.8425, 0.7819, 0.5796)
Cl (0.1013, 0.6685, 0.7069)
Cl (0.2912, 0.9024, 0.7343)
Cl (0.7151, 0.7652, 0.9018)
Al (0.2872, 0.7471, 0.0022)
Al (0.4721, 0.4577, 0.7615)
Al (0.7872, 0.2529, 0.4978)
Cl (0.6575, 0.7819, 0.0796)
Cl (0.5056, 0.0001, 0.1563)
Pb (0.2377, 0.9916, 0.8749)
Cl (0.9144, 0.8885, 0.0205)
Al (0.7872, 0.7529, 0.0022)
Cl (0.1575, 0.2181, 0.4204)
Cl (0.6449, 0.5774, 0.5058)
Cl (0.7849, 0.7652, 0.4018)
Al (0.9721, 0.5423, 0.7385)
Cl (0.2849, 0.7348, 0.4018)
Al (0.5279, 0.5423, 0.2385)
Cl (0.9944, 0.0001, 0.6563)
Cl (0.9144, 0.3885, 0.4795)
Cl (0.4978, 0.8963, 0.3277)
Cl (0.4978, 0.3963, 0.1723)
Cl (0.2088, 0.4024, 0.2657)
Cl (0.7088, 0.0976, 0.2657)
Cl (0.9978, 0.6037, 0.3277)
Cl (0.2912, 0.4024, 0.7657)
Cl (0.0022, 0.8963, 0.8277)
Cl (0.3425, 0.2181, 0.9204)
Cl (0.7912, 0.5976, 0.7343)
Cl (0.7849, 0.2652, 0.0982)
Pb (0.7623, 0.0084, 0.1251)
Cl (0.1449, 0.9226, 0.5058)
Cl (0.9978, 0.1037, 0.1723)
Pb (0.7377, 0.0084, 0.6251)
Cl (0.6575, 0.2819, 0.4204)
Cl (0.3551, 0.9226, 0.0058)
Pb (0.7377, 0.5084, 0.8749)
Cl (0.2151, 0.2348, 0.5982)
Cl (0.4144, 0.1115, 0.4795)
Pb (0.2623, 0.4916, 0.1251)
Pb (0.7623, 0.5084, 0.3749)
Cl (0.5856, 0.3885, 0.9795)
Cl (0.0856, 0.1115, 0.9795)
Cl (0.5856, 0.8885, 0.5205)
Cl (0.4944, 0.4999, 0.6563)
Cl (0.0022, 0.3963, 0.6723)
Cl (0.7088, 0.5976, 0.2343)
Cl (0.5056, 0.5001, 0.3437)
Cl (0.5022, 0.6037, 0.8277)
Cl (0.1575, 0.7181, 0.0796)
Cl (0.5022, 0.1037, 0.6723)
Pb (0.2623, 0.9916, 0.3749)
Cl (0.8551, 0.0774, 0.4942)
Al (0.7128, 0.7529, 0.5022)
Cl (0.6449, 0.0774, 0.9942)
Al (0.2872, 0.2471, 0.4978)
Cl (0.9944, 0.5001, 0.8437)
Cl (0.0056, 0.4999, 0.1563)
Cl (0.3987, 0.1685, 0.2931)
Al (0.0279, 0.4577, 0.2615)
Cl (0.3987, 0.6685, 0.2069)
Cl (0.8987, 0.3315, 0.2931)
Cl (0.8987, 0.8315, 0.2069)
Al (0.7128, 0.2529, 0.9978)
Al (0.2128, 0.7471, 0.5022)
Cl (0.0856, 0.6115, 0.5205)
Cl (0.2088, 0.9024, 0.2343)
Cl (0.0056, 0.9999, 0.3437)
Cl (0.4944, 0.9999, 0.8437)
Al (0.5279, 0.0423, 0.2615)
Al (0.0279, 0.9577, 0.2385)
Cl (0.3425, 0.7181, 0.5796)
Pb (0.2377, 0.4916, 0.6251)
Cl (0.1013, 0.1685, 0.7931)
Cl (0.2849, 0.2348, 0.0982)
Cl (0.6013, 0.3315, 0.7931)
Cl (0.8425, 0.2819, 0.9204)
Cl (0.8551, 0.5774, 0.0058)

Summary:
- space group = No. 61
- formation energy from raw total energies (eV per atom) = -1.42

***

Entry 22:
Compound: CuO
Source: Alexandria
Functional: GGA-PBEsol
Structure: relaxed

Lattice parameters (Å, degrees): 2.9458 2.9458 2.9458 60.00 60.00 60.00
Positions (direct):
O (0.5000, 0.5000, 0.5000)
Cu (0.0000, 0.0000, 0.0000)

Summary:
- space group = No. 225
- formation energy from raw total energies (eV per atom) = -0.45

***

Entry 23:
Compound: CeAl3Au
Source: Alexandria
Functional: GGA-PBEsol
Structure: relaxed

Lattice parameters (Å, degrees): 4.2793 4.2793 6.1737 110.28 110.28 90.00
Each line ends with the local moment (μB).
Positions (direct):
Ce (0.0093, 0.0093, 0.0185)  0.66
Au (0.3712, 0.3712, 0.7424)  0.00
Al (0.2468, 0.7468, 0.4935)  0.00
Al (0.5980, 0.5980, 0.1960)  0.00
Al (0.7468, 0.2468, 0.4935)  0.00

Summary:
- ΔE_f (eV/atom) = -0.56
- space group = No. 107